No. 1
SmYSc2Sb4 GGA-PBE optimized geometry; total magnetic moment = 0.0 μB/f.u.; calculated total energy = -6.09 eV per atom
1.0
-3.806 0.573 1.930
0.992 -6.316 3.830
2.809 5.707 3.846
Sb Sm Sc Y
4 1 2 1
Cartesian
1.508 -3.257 3.940
-0.901 0.211 2.963
2.293 2.647 3.736
0.896 -0.248 6.644
-1.407 -2.872 2.880
-0.498 3.140 2.888
1.900 -0.305 3.838
0.000 0.000 0.000

No. 2
CaLa2Mg GGA-PBE optimized geometry; total magnetic moment = 1.7 μB/f.u.; ΔE_f = 0.11 eV per atom
1.0
5.795 0.000 0.000
2.898 5.019 0.000
2.898 1.673 4.732
La Mg Ca
2 1 1
Cartesian
0.000 0.000 0.000
2.898 1.673 1.183
8.693 5.019 3.549
5.795 3.346 2.366

No. 3
Mg8Al2Zn GGA-PBE optimized geometry; total magnetic moment = 0.0 μB/f.u.; ΔE_f = 0.07 eV per atom
1.0
5.023 0.062 -0.788
-2.487 6.326 -3.161
-0.417 -0.025 7.648
Mg Al Zn
8 2 1
Cartesian
2.000 4.314 3.123
-0.752 4.993 1.695
0.119 2.050 0.576
0.017 3.929 -2.197
4.334 0.632 4.830
2.871 1.371 2.004
-2.215 5.732 -1.131
2.519 2.460 -1.752
0.518 1.931 3.456
1.601 4.433 0.243
2.511 0.031 -0.394

No. 4
Pr12DySc6 GGA-PBE optimized geometry; total magnetic moment = 0.0 μB/f.u.; ΔE_f = 0.27 eV per atom
1.0
-8.547 -2.181 -2.251
2.777 -6.203 6.058
-0.401 7.961 4.398
Sc Pr Dy
6 12 1
Cartesian
-0.324 -2.718 2.705
-5.847 2.295 5.500
-0.277 2.389 3.004
-5.894 -2.812 5.201
-3.843 0.024 0.200
-2.328 -0.447 8.005
-0.297 -0.169 5.095
-2.552 2.199 5.735
-7.218 2.790 2.252
-5.874 -0.254 3.110
-3.823 -5.587 4.374
-3.619 -2.622 2.470
0.197 2.054 7.791
-3.748 2.266 2.625
1.047 -3.213 5.953
-2.423 -2.689 5.580
-6.368 -2.477 0.414
-2.349 5.165 3.831
0.000 0.000 0.000

No. 5
Ga2MoI2 GGA-PBE optimized geometry; total magnetic moment = 2.5 μB/f.u.; calculated total energy = -3.35 eV per atom
1.0
-4.461 0.468 6.075
-6.005 -1.617 -4.284
0.711 -5.059 0.912
I Ga Mo
4 4 2
Cartesian
-6.420 -1.184 -1.557
-2.735 -0.447 -0.345
-7.731 -0.702 2.136
-4.046 0.035 3.348
-7.633 -3.580 0.861
-2.121 -2.628 1.842
-5.439 -2.687 4.104
-4.315 -3.521 -1.401
0.000 0.000 0.000
-5.233 -0.574 0.896

No. 6
Zr2BHSe GGA-PBE optimized geometry; total magnetic moment = 0.0 μB/f.u.; calculated total energy = -6.27 eV per atom
1.0
4.785 0.000 0.000
0.000 3.275 0.000
0.000 0.000 4.785
H Zr Se B
1 2 1 1
Cartesian
0.000 1.637 0.000
0.000 0.000 2.392
2.392 0.000 0.000
2.392 1.637 2.392
0.000 0.000 0.000

No. 7
NaAc2SnS6 GGA-PBE optimized geometry; total magnetic moment = 0.5 μB/f.u.; calculated total energy = -5.12 eV per atom
1.0
-6.460 -0.176 2.480
1.848 -6.010 4.388
2.259 5.945 7.191
S Na Ac Sn
12 2 4 2
Cartesian
-3.453 1.141 3.636
-0.627 -3.768 4.110
1.100 -1.382 10.424
1.659 1.751 7.781
-1.793 0.628 12.311
0.087 1.577 4.431
-0.560 -0.869 1.749
-4.012 -1.992 6.279
-2.440 -1.818 9.628
0.129 -1.676 7.051
-2.482 1.436 7.008
-1.726 3.527 9.950
-3.230 -0.088 1.240
2.054 -0.033 5.790
-4.339 3.681 8.206
1.986 -3.922 5.854
-1.683 -1.009 4.689
-0.670 0.769 9.371
-2.101 2.885 4.836
0.924 -3.005 2.194

No. 8
Li2MgPaO4 GGA-PBE optimized geometry; total magnetic moment = 1.0 μB/f.u.; calculated total energy = -6.93 eV per atom
1.0
4.523 0.002 0.000
-0.002 4.523 0.000
-2.260 -2.262 4.589
Li O Mg Pa
2 4 1 1
Cartesian
-0.002 4.522 0.000
-0.002 2.262 2.295
2.261 0.001 0.184
2.261 0.001 4.406
2.260 2.263 2.230
0.000 0.000 2.360
2.261 0.001 2.295
2.260 2.262 0.000

No. 9
BiTeOs2 GGA-PBE optimized geometry; total magnetic moment = 0.0 μB/f.u.; calculated total energy = -6.32 eV per atom
1.0
0.000 3.373 3.373
3.373 0.000 3.373
3.373 3.373 0.000
Te Bi Os
1 1 2
Cartesian
0.000 0.000 0.000
3.373 3.373 3.373
1.687 1.687 1.687
5.060 5.060 5.060

No. 10
ThCdCoNi GGA-PBE optimized geometry; total magnetic moment = 0.5 μB/f.u.; ΔE_f = -0.09 eV per atom
1.0
4.705 0.000 0.000
2.353 4.075 0.000
2.353 1.358 3.842
Ni Co Cd Th
1 1 1 1
Cartesian
4.705 2.716 1.921
0.000 0.000 0.000
2.353 1.358 0.960
7.058 4.075 2.881

No. 11
CuTcSe2 GGA-PBE optimized geometry; total magnetic moment = 0.0 μB/f.u.; calculated total energy = -5.35 eV per atom
1.0
3.262 0.000 0.000
0.000 3.262 0.000
0.000 0.000 7.134
Cu Se Tc
1 2 1
Cartesian
1.631 1.631 5.335
1.631 1.631 2.534
0.000 0.000 6.255
0.000 0.000 3.710

No. 12
Ba3Nd2YSe6 GGA-PBE optimized geometry; total magnetic moment = 0.0 μB/f.u.; calculated total energy = -5.46 eV per atom
1.0
7.558 0.003 0.000
-3.775 6.548 0.000
-1.262 -2.185 7.412
Y Se Ba Nd
1 6 3 2
Cartesian
0.000 0.000 0.000
3.752 2.235 5.795
2.460 -0.001 1.617
-0.031 -0.054 5.776
2.552 4.419 1.636
-1.230 2.131 1.617
0.061 4.366 5.795
1.261 2.183 3.706
5.010 0.017 3.706
-2.489 4.348 3.706
3.771 2.189 0.000
0.012 4.361 0.000

No. 13
Bi2Ru2I GGA-PBE optimized geometry; total magnetic moment = 0.0 μB/f.u.; calculated total energy = -4.96 eV per atom
1.0
4.767 0.000 0.000
0.000 4.767 0.000
2.383 2.383 5.441
Bi Ru I
2 2 1
Cartesian
2.383 4.767 2.720
4.767 2.383 2.720
2.383 2.383 1.199
4.767 4.767 4.242
0.000 0.000 0.000

No. 14
Rb2FeCoCl6 GGA-PBE optimized geometry; total magnetic moment = 7.0 μB/f.u.; calculated total energy = -3.96 eV per atom
1.0
-0.166 6.739 -2.737
-0.944 -2.735 -6.676
-5.063 2.129 -4.121
Rb Cl Co Fe
2 6 1 1
Cartesian
-3.281 0.698 -7.752
-2.892 5.435 -5.782
-0.829 2.990 -7.027
-3.341 4.067 -9.123
-0.281 1.015 -2.386
-0.747 -0.333 -5.678
-0.364 4.338 -3.736
-2.832 2.066 -4.411
0.000 0.000 0.000
-0.555 2.002 -4.707

No. 15
Li7Ac3Hg4 GGA-PBE optimized geometry; total magnetic moment = 0.0 μB/f.u.; ΔE_f = -0.28 eV per atom
1.0
-4.520 1.540 -1.556
-5.507 -1.003 6.901
-1.680 7.657 4.355
Ac Hg Li
3 4 7
Cartesian
-2.822 1.876 1.952
-8.884 6.318 7.749
-3.593 3.327 5.628
-9.568 2.979 6.431
-5.996 2.048 3.237
-2.138 5.215 3.270
-5.710 6.145 6.464
-4.652 6.785 4.021
-4.321 0.139 4.585
-7.385 8.055 5.115
-6.875 3.630 7.358
0.000 0.000 0.000
-4.831 4.564 2.342
-7.055 1.409 5.680

No. 16
CsRb2HgTe GGA-PBE optimized geometry; total magnetic moment = 0.0 μB/f.u.; calculated total energy = -1.77 eV per atom
1.0
-5.601 -0.573 -4.206
3.931 -3.332 -4.780
-1.698 -6.522 3.150
Te Rb Hg Cs
1 2 1 1
Cartesian
0.000 0.000 0.000
1.965 -1.666 -2.390
-2.801 -0.287 -2.103
-1.684 -5.214 -2.918
-0.849 -3.261 1.575

No. 17
Zn2As2Ir GGA-PBE optimized geometry; total magnetic moment = 0.0 μB/f.u.; ΔE_f = 0.14 eV per atom
1.0
-0.332 -3.378 5.269
-2.912 -4.588 -3.124
4.144 -1.955 -0.992
As Ir Zn
4 2 4
Cartesian
-0.627 -2.822 2.940
-2.155 -5.844 2.514
-1.089 -2.122 -0.369
-2.617 -5.144 -0.795
0.000 0.000 0.000
-1.622 -3.983 1.073
-0.545 -7.038 0.513
0.863 -5.227 2.828
0.037 -4.693 -1.675
1.446 -2.882 0.641

No. 18
Pm5Co2Ni GGA-PBE optimized geometry; total magnetic moment = 0.0 μB/f.u.; ΔE_f = -0.11 eV per atom
1.0
6.685 0.000 -3.156
-1.490 6.517 -3.156
0.061 0.076 8.787
Pm Co Ni
10 4 2
Cartesian
1.213 0.287 5.624
2.598 3.259 -3.156
2.607 4.505 2.468
4.043 6.306 -3.148
5.772 3.048 -2.035
0.000 0.000 0.000
4.336 1.247 3.582
-0.516 3.545 4.511
0.920 5.347 -1.106
2.649 2.088 0.007
5.028 3.986 -4.734
1.273 5.790 -4.029
0.168 2.531 -1.578
3.922 0.727 -2.282
3.927 4.926 -0.340
1.329 1.667 2.816

No. 19
NaYSe3 GGA-PBE optimized geometry; total magnetic moment = 0.9 μB/f.u.; calculated total energy = -4.50 eV per atom
1.0
5.524 0.000 0.000
0.000 5.524 0.000
0.000 0.000 5.524
Y Se Na
1 3 1
Cartesian
0.000 0.000 0.000
0.000 0.000 2.762
2.762 0.000 0.000
0.000 2.762 0.000
2.762 2.762 2.762

No. 20
NaCePu4N8 GGA-PBE optimized geometry; total magnetic moment = 13.0 μB/f.u.; calculated total energy = -10.29 eV per atom
1.0
6.843 0.000 0.000
3.422 5.926 0.000
3.422 1.975 5.668
N Pu Ce Na
8 4 1 1
Cartesian
4.977 5.028 1.588
6.843 6.262 3.991
8.709 5.028 1.588
4.841 2.795 3.991
3.422 1.975 1.838
10.265 5.926 4.035
6.843 1.796 1.588
8.845 2.795 3.991
1.725 0.996 2.848
3.422 3.934 2.848
6.843 3.951 0.787
5.118 0.996 2.848
3.422 1.975 5.658
6.843 3.951 4.910